1.
! PBE-GGA TbSm2Mn, optimized geometry; values from VASP
! - symmetry = P4/mmm (123)
! - size of the total moment (μB/f.u.) = 4.04
! - ΔE_f (meV per atom) = 162
! - energy above the lowest structure with this stoichiometry (kJ/mol of formula units) = 0
&SYSTEM
  ibrav = 0, nat = 4, ntyp = 3
/
ATOMIC_SPECIES
Mn 54.94 Mn.upf
Tb 158.93 Tb.upf
Sm 150.36 Sm.upf
CELL_PARAMETERS angstrom
3.597 0.000 0.000
0.000 3.597 0.000
0.000 0.000 8.810
ATOMIC_POSITIONS crystal
Mn 0.500 0.500 0.000
Tb 0.500 0.500 0.500
Sm 0.000 0.000 0.793
Sm 0.000 0.000 0.207


2.
! PBE-GGA BaBi2S4, optimized geometry; values from VASP
! - symmetry = P6_3/m (176)
! - size of the total moment (μB/f.u.) = 0.00
! - formation energy (no corrections) (eV per atom) = -0.89
! - energy above the lowest structure with this stoichiometry (kJ/mol of formula units) = 7
&SYSTEM
  ibrav = 0, nat = 84, ntyp = 3
/
ATOMIC_SPECIES
Ba 137.33 Ba.upf
Bi 208.98 Bi.upf
S 32.06 S.upf
CELL_PARAMETERS angstrom
25.806 0.000 0.000
-12.903 22.349 0.000
0.000 0.000 4.163
ATOMIC_POSITIONS crystal
Ba 0.772 0.650 0.750
Ba 0.121 0.772 0.250
Ba 0.650 0.879 0.250
Ba 0.350 0.121 0.750
Ba 0.879 0.228 0.750
Ba 0.228 0.350 0.250
Ba 0.680 0.446 0.750
Ba 0.234 0.680 0.250
Ba 0.446 0.766 0.250
Ba 0.554 0.234 0.750
Ba 0.766 0.320 0.750
Ba 0.320 0.554 0.250
Bi 0.155 0.978 0.750
Bi 0.177 0.155 0.250
Bi 0.978 0.823 0.250
Bi 0.022 0.177 0.750
Bi 0.823 0.845 0.750
Bi 0.845 0.022 0.250
Bi 0.541 0.951 0.750
Bi 0.590 0.541 0.250
Bi 0.951 0.410 0.250
Bi 0.049 0.590 0.750
Bi 0.410 0.459 0.750
Bi 0.459 0.049 0.250
Bi 0.354 0.857 0.750
Bi 0.497 0.354 0.250
Bi 0.857 0.503 0.250
Bi 0.143 0.497 0.750
Bi 0.503 0.646 0.750
Bi 0.646 0.143 0.250
Bi 0.726 0.058 0.750
Bi 0.668 0.726 0.250
Bi 0.058 0.332 0.250
Bi 0.942 0.668 0.750
Bi 0.332 0.274 0.750
Bi 0.274 0.942 0.250
S 0.935 0.858 0.750
S 0.077 0.935 0.250
S 0.858 0.923 0.250
S 0.142 0.077 0.750
S 0.923 0.065 0.750
S 0.065 0.142 0.250
S 0.694 0.808 0.750
S 0.886 0.694 0.250
S 0.808 0.114 0.250
S 0.192 0.886 0.750
S 0.114 0.306 0.750
S 0.306 0.192 0.250
S 0.345 0.753 0.750
S 0.592 0.345 0.250
S 0.753 0.408 0.250
S 0.247 0.592 0.750
S 0.408 0.655 0.750
S 0.655 0.247 0.250
S 0.367 0.997 0.750
S 0.370 0.367 0.250
S 0.546 0.853 0.750
S 0.997 0.630 0.250
S 0.630 0.633 0.750
S 0.633 0.003 0.250
S 0.748 0.968 0.750
S 0.780 0.748 0.250
S 0.968 0.220 0.250
S 0.032 0.780 0.750
S 0.220 0.252 0.750
S 0.252 0.032 0.250
S 0.913 0.457 0.750
S 0.455 0.913 0.250
S 0.457 0.545 0.250
S 0.543 0.455 0.750
S 0.545 0.087 0.750
S 0.087 0.543 0.250
S 0.174 0.449 0.250
S 0.725 0.174 0.750
S 0.449 0.275 0.750
S 0.551 0.725 0.250
S 0.275 0.826 0.250
S 0.826 0.551 0.750
S 0.454 0.147 0.250
S 0.307 0.454 0.750
S 0.147 0.693 0.750
S 0.853 0.307 0.250
S 0.693 0.546 0.250
S 0.003 0.370 0.750


3.
! PBE-GGA CsZnF3, optimized geometry; values from VASP
! - symmetry = C2/c (15)
! - size of the total moment (μB/f.u.) = 0.00
! - formation energy (no corrections) (eV per atom) = -2.49
&SYSTEM
  ibrav = 0, nat = 20, ntyp = 3
/
ATOMIC_SPECIES
Cs 132.91 Cs.upf
Zn 65.41 Zn.upf
F 19.00 F.upf
CELL_PARAMETERS angstrom
-3.529 1.431 12.902
-2.252 -5.702 5.834
5.383 -5.344 -3.753
ATOMIC_POSITIONS crystal
Cs 0.197 0.386 0.382
Cs 0.303 0.882 0.886
Cs 0.803 0.614 0.618
Cs 0.697 0.118 0.114
Zn 0.750 0.183 0.683
Zn 0.250 0.817 0.317
Zn 0.750 0.474 0.974
Zn 0.250 0.526 0.026
F 0.417 0.431 0.438
F 0.083 0.938 0.931
F 0.583 0.569 0.562
F 0.917 0.062 0.069
F 0.061 0.207 0.159
F 0.439 0.659 0.707
F 0.939 0.793 0.841
F 0.561 0.341 0.293
F 0.669 0.781 0.884
F 0.831 0.384 0.281
F 0.331 0.219 0.116
F 0.169 0.616 0.719


4.
! PBE-GGA LaSm2Se, optimized geometry; values from VASP
! - symmetry = R3m (160)
! - size of the total moment (μB/f.u.) = 0.00
! - formation energy (no corrections) (eV per atom) = -0.81
! - energy above the lowest structure with this stoichiometry (kJ/mol of formula units) = 0
&SYSTEM
  ibrav = 0, nat = 4, ntyp = 3
/
ATOMIC_SPECIES
La 138.91 La.upf
Sm 150.36 Sm.upf
Se 78.96 Se.upf
CELL_PARAMETERS angstrom
-1.846 -2.466 -2.399
1.294 -3.660 -0.410
-5.921 -4.894 6.408
ATOMIC_POSITIONS crystal
La 0.500 0.500 0.501
Sm 0.064 0.064 0.809
Sm 0.270 0.270 0.190
Se 0.667 0.667 0.999


5.
! PBE-GGA AcLa4Pm4, optimized geometry; values from VASP
! - symmetry = I4/mmm (139)
! - size of the total moment (μB/f.u.) = 0.00
! - ΔE_f (meV per atom) = 24
! - energy above the lowest structure with this stoichiometry (kJ/mol of formula units) = 0
&SYSTEM
  ibrav = 0, nat = 9, ntyp = 3
/
ATOMIC_SPECIES
Ac 227.00 Ac.upf
La 138.91 La.upf
Pm 145.00 Pm.upf
CELL_PARAMETERS angstrom
-1.387 4.355 2.656
-7.345 -1.387 3.699
3.051 -0.543 7.743
ATOMIC_POSITIONS crystal
Ac 0.000 0.000 0.000
La 0.669 0.661 0.000
La 0.331 0.339 0.000
La 0.669 0.000 0.661
La 0.331 0.000 0.339
Pm 0.662 0.338 0.338
Pm 0.338 0.662 0.662
Pm 0.000 0.662 0.338
Pm 0.000 0.338 0.662


6.
! PBE-GGA TcAs2Ru, optimized geometry; values from VASP
! - symmetry = Fm-3m (225)
! - size of the total moment (μB/f.u.) = 0.00
! - ΔE_f (meV per atom) = -69
! - energy above the lowest structure with this stoichiometry (kJ/mol of formula units) = 21
&SYSTEM
  ibrav = 0, nat = 4, ntyp = 3
/
ATOMIC_SPECIES
Ru 101.07 Ru.upf
As 74.92 As.upf
Tc 98.00 Tc.upf
CELL_PARAMETERS angstrom
2.303 0.915 3.577
-2.041 0.756 3.768
0.248 -2.905 3.230
ATOMIC_POSITIONS crystal
Ru 0.500 0.500 0.500
As 0.250 0.250 0.250
As 0.750 0.750 0.750
Tc 0.000 0.000 0.000


7.
! PBE-GGA LiGe2Pd2, optimized geometry; values from VASP
! - symmetry = I4/mmm (139)
! - size of the total moment (μB/f.u.) = 0.00
! - ΔE_f (meV per atom) = -254
! - energy above the lowest structure with this stoichiometry (kJ/mol of formula units) = 103
&SYSTEM
  ibrav = 0, nat = 5, ntyp = 3
/
ATOMIC_SPECIES
Ge 72.64 Ge.upf
Pd 106.42 Pd.upf
Li 6.94 Li.upf
CELL_PARAMETERS angstrom
-1.981 -2.528 -2.530
3.576 -1.399 -1.403
0.800 -5.944 2.009
ATOMIC_POSITIONS crystal
Ge 0.750 0.250 0.500
Ge 0.250 0.750 0.500
Pd 0.382 0.382 0.237
Pd 0.618 0.618 0.763
Li 0.000 0.000 0.000


8.
! PBE-GGA NpGe4PdRh2, optimized geometry; values from VASP
! - symmetry = R-3m (166)
! - size of the total moment (μB/f.u.) = 3.82
! - ΔE_f (meV per atom) = -328
&SYSTEM
  ibrav = 0, nat = 8, ntyp = 4
/
ATOMIC_SPECIES
Np 237.00 Np.upf
Ge 72.64 Ge.upf
Pd 106.42 Pd.upf
Rh 102.91 Rh.upf
CELL_PARAMETERS angstrom
4.336 0.000 0.000
2.168 3.755 0.000
2.168 1.252 8.322
ATOMIC_POSITIONS crystal
Np 0.000 0.000 0.000
Ge 0.392 0.392 0.823
Ge 0.877 0.877 0.370
Ge 0.123 0.123 0.630
Ge 0.608 0.608 0.177
Pd 0.500 0.500 0.500
Rh 0.769 0.769 0.692
Rh 0.231 0.231 0.308